Hf5Ti2Ge4: relaxed, GGA-PBE.

Geometry as POSCAR:
```
Hf5Ti2Ge4
1.0
-3.563 0.559 -1.640
1.750 -3.522 -5.005
-4.185 -0.651 13.658
Ge Hf Ti
4 5 2
direct
0.675 0.796 0.350
0.973 0.607 0.947
0.027 0.393 0.053
0.325 0.204 0.650
0.781 0.777 0.562
0.500 0.000 0.000
0.219 0.223 0.438
0.860 0.608 0.721
0.140 0.392 0.279
0.416 0.141 0.832
0.584 0.859 0.168
```

Computed properties:
SG = No. 12
formation energy = -0.38 eV per atom
M_tot = 0.00 μB per formula unit
DOS(E_F) = 0.685 states/eV per atom



Mo2RuBr: relaxed, GGA-PBE.

Geometry as POSCAR:
```
Mo2RuBr
1.0
-1.088 2.889 -0.286
-1.283 -0.752 -2.720
-5.865 -1.883 3.287
Mo Br Ru
2 1 1
direct
0.500 0.500 0.259
0.000 0.000 0.016
0.500 0.500 0.765
0.000 0.000 0.459
```

Computed properties:
relative energy among the computed polymorphs = 24 kJ/mol of formula units
SG = No. 99
M_tot = 0.00 μB per formula unit
DOS(E_F) = 0.780 states/eV per atom
ΔE_f (raw) = 0.47 eV/atom